This record from OQMD via LeMat-Bulk describes a relaxed structure of Na2Ta2Se3S. The functional is PBE.

Properties
Calculated density in g/cm3: 7.09
Energy in eV/atom: -6.11
Total magnetic moment in μB/f.u.: 0.00

a = 3.507 Å, b = 3.507 Å, c = 14.876 Å
α = 90.00°, β = 90.00°, γ = 120.00°
Sites, in units of the cell vectors:
S: 0.333 0.667 0.142
Se: 0.333 0.667 0.356
Se: 0.000 0.000 0.639
Se: 0.000 0.000 0.863
Na: 0.667 0.333 0.498
Na: 0.667 0.333 0.008
Ta: 0.667 0.333 0.244
Ta: 0.667 0.333 0.751